(1)
Computed, not measured: a relaxed ReGe3O crystal at the PBE level of DFT.

Values from the calculation:
Energy in eV for the cell shown: -28.9
ΔE_f (raw) in meV/atom: 463

Lattice parameters (Å, degrees): 4.2462 4.2462 4.2462 90.00 90.00 90.00
Atoms (fractional coordinates):
Ge  0.0000  0.5000  0.0000
O  0.0000  0.0000  0.0000
Re  0.5000  0.5000  0.5000
Ge  0.5000  0.0000  0.0000
Ge  0.0000  0.0000  0.5000

=====

(2)
Computed, not measured: a relaxed Rb5TeO6 crystal at the PBE level of DFT.

Values from the calculation:
Energy in eV for the cell shown: -53.1
ΔE_f (raw) in meV/atom: -1282

Lattice parameters (Å, degrees): 6.6535 6.8768 6.8337 59.79 79.74 69.27
Atoms (fractional coordinates):
Rb  0.0000  0.6669  0.6661
O  0.8187  0.8258  0.0000
O  0.8133  0.0609  0.2370
Rb  0.5000  0.1636  0.6729
Te  0.0000  0.0000  0.0000
O  0.1867  0.7021  0.2370
Rb  0.0000  0.3331  0.3339
O  0.1867  0.9391  0.7630
O  0.1813  0.1742  0.0000
Rb  0.5000  0.8364  0.3271
Rb  0.5000  0.5000  0.0000
O  0.8133  0.2979  0.7630

=====

(3)
Computed, not measured: a relaxed Nd3YEr2Te6 crystal at the PBE level of DFT.

Values from the calculation:
Energy in eV for the cell shown: -64.8
ΔE_f (raw) in meV/atom: -1340

Lattice parameters (Å, degrees): 4.3630 8.9528 9.9370 104.61 102.68 90.00
Atoms (fractional coordinates):
Te  0.0040  0.2444  0.0080
Te  0.6650  0.0919  0.3301
Er  0.8341  0.6688  0.6683
Er  0.1659  0.3312  0.3317
Te  0.3295  0.4261  0.6590
Te  0.9960  0.7556  0.9920
Te  0.6705  0.5739  0.3410
Nd  0.5000  0.5000  0.0000
Y  0.5000  0.0000  0.0000
Nd  0.1649  0.8318  0.3297
Nd  0.8351  0.1682  0.6703
Te  0.3350  0.9081  0.6699

=====

(4)
Computed, not measured: a relaxed LaZn2CoSi crystal at the PBE level of DFT.

Values from the calculation:
Energy in eV for the cell shown: -21.8
ΔE_f (raw) in meV/atom: -353

Lattice parameters (Å, degrees): 4.6227 4.6227 4.3874 90.00 90.00 90.00
Atoms (fractional coordinates):
Zn  0.0000  0.5000  0.0000
Zn  0.5000  0.0000  0.0000
La  0.5000  0.5000  0.5000
Co  0.0000  0.0000  0.0000
Si  0.0000  0.0000  0.5000

=====

(5)
Computed, not measured: a relaxed Y2MgAlRu crystal at the PBE level of DFT.

Values from the calculation:
Energy in eV for the cell shown: -23.8

Lattice parameters (Å, degrees): 5.4514 5.4514 4.4761 90.00 90.00 90.00
Atoms (fractional coordinates):
Mg  0.0000  0.0000  0.0000
Y  0.5000  0.0000  0.0000
Y  0.0000  0.5000  0.0000
Al  0.5000  0.5000  0.5000
Ru  0.0000  0.0000  0.5000

=====

(6)
Computed, not measured: a relaxed BeAl2ReAg crystal at the PBE level of DFT.

Values from the calculation:
Energy in eV for the cell shown: -18.0

Lattice parameters (Å, degrees): 4.5735 5.1324 4.5735 90.00 90.00 90.00
Atoms (fractional coordinates):
Al  0.5000  0.0000  0.0000
Ag  0.0000  0.0000  0.0000
Be  0.5000  0.5000  0.5000
Al  0.0000  0.0000  0.5000
Re  0.0000  0.5000  0.0000

=====

(7)
Computed, not measured: a relaxed Ho2TmSc crystal at the PBE level of DFT.

Values from the calculation:
Energy in eV for the cell shown: -19.8

Lattice parameters (Å, degrees): 4.8575 4.8890 4.8890 90.00 90.00 90.00
Atoms (fractional coordinates):
Sc  0.5000  0.0000  0.0000
Ho  0.0000  0.0000  0.5000
Ho  0.0000  0.5000  0.0000
Tm  0.5000  0.5000  0.5000

=====

(8)
Computed, not measured: a relaxed CrSbBr2 crystal at the PBE level of DFT.

Values from the calculation:
Energy in eV for the cell shown: -17.4
ΔE_f (raw) in meV/atom: -89

Lattice parameters (Å, degrees): 3.6218 3.6218 12.3169 90.00 90.00 123.52
Atoms (fractional coordinates):
Cr  0.5000  0.5000  0.2500
Br  0.0000  0.0000  0.1045
Sb  0.5000  0.5000  0.7500
Br  0.0000  0.0000  0.3955

=====

Summary of total magnetization in Bohr magnetons per cell
1.2; 1.1; 0.0; 0.0; 0.0; 2.2; 0.0; 4.0
(order as listed above)